Mg2P7Ru12 (PBE, optimized geometry); theoretical density = 8.27 g/cm³; uncorrected energy = -7.780 eV/atom; symmetry = No. 174
1.0
9.467 0.000 0.000
-4.733 8.199 0.000
0.000 0.000 3.822
Mg P Ru
2 7 12
Cartesian
0.000 0.000 0.000
0.000 5.466 1.911
-1.444 3.475 0.000
1.456 2.025 1.911
-1.002 7.712 0.000
2.446 5.211 0.000
4.733 2.733 0.000
6.985 0.249 1.911
5.759 5.925 1.911
-0.817 1.980 1.911
-2.132 5.725 0.000
-2.610 7.916 1.911
0.842 3.490 0.000
2.809 1.638 0.000
4.714 0.735 1.911
3.013 3.749 1.911
1.290 7.182 0.000
3.427 6.501 1.911
6.644 1.614 0.000
4.747 4.947 0.000
6.473 3.715 1.911